VIn2H: optimized geometry, GGA-PBE.

Geometry as POSCAR:
```
VIn2H
1.0
-3.365 3.365 2.864
3.365 -3.365 2.864
3.365 3.365 -2.864
V In H
2 4 2
Cartesian
0.000 0.000 0.000
0.000 3.365 1.432
1.682 -1.199 2.148
2.165 1.682 0.716
1.682 4.564 -0.716
1.199 1.682 3.580
3.365 0.000 1.432
0.000 0.000 2.864
```

V2InH: optimized geometry, GGA-PBE.

Geometry as POSCAR:
```
V2InH
1.0
-2.670 2.670 3.851
2.670 -2.670 3.851
2.670 2.670 -3.851
V In H
4 2 2
Cartesian
0.000 0.000 0.000
1.335 1.335 -1.926
1.335 -1.335 1.926
0.000 2.670 0.000
2.670 1.335 0.963
0.000 1.335 2.889
2.670 -1.335 2.889
0.000 4.005 0.963
```

V2InH: optimized geometry, GGA-PBE.

Geometry as POSCAR:
```
V2InH
1.0
1.531 0.884 6.502
-1.531 0.884 6.502
0.000 -1.768 6.502
V In H
2 1 1
Cartesian
0.000 0.000 4.104
0.000 0.000 15.402
0.000 0.000 0.000
0.000 0.000 9.753
```

| no. | ρ (Mg/m³) | E (eV for the cell shown) |
| --- | --- | --- |
| 1 | 7.2 | -31.3 |
| 2 | 6.6 | -47.0 |
| 3 | 6.8 | -24.1 |